1.
Material: In8Hg3Bi
Method: DFT, PBE-GGA
State: optimized geometry

a = 8.2315 Å, b = 8.7250 Å, c = 9.2736 Å
α = 46.89°, β = 108.80°, γ = 130.01°
Fractional positions:
In1 0.1120 0.0000 0.3662
In2 0.3785 0.5230 0.5960
In3 0.8554 0.4770 0.1191
In4 0.5913 0.0000 0.8594
In5 0.8839 0.0000 0.6247
In6 0.6311 0.4861 0.4035
In7 0.1450 0.5139 0.8896
In8 0.4030 0.0000 0.1424
Hg1 0.7552 0.5033 0.7512
Hg2 0.2519 0.4967 0.2545
Hg3 0.4965 0.0000 0.5019
Bi1 0.9965 0.0000 0.9917

Results
Total magnetic moment   0.000 μB/f.u.
Energy relative to the elements   0.05 eV per atom


2.
Material: InHg2Bi
Method: DFT, PBE-GGA
State: optimized geometry

a = 3.4323 Å, b = 3.4323 Å, c = 9.2488 Å
α = 90.00°, β = 90.00°, γ = 90.00°
Fractional positions:
In1 0.5000 0.5000 0.0000
Bi1 0.5000 0.5000 0.5000
Hg1 0.0000 0.0000 0.7622
Hg2 0.0000 0.0000 0.2378

Results
Total magnetic moment   0.000 μB/f.u.
Energy relative to the elements   0.05 eV per atom


no.,calculated density (g cm⁻³)
1,7.89
2,11.05